Entry 1:
Entry from Alexandria: PmDy2Mg4 after structural relaxation (PBE-GGA).

Summary:
ΔE_f, eV per formula unit: 2.54

Unit cell a=5.5102 b=5.9900 c=7.1233 alpha=114.86 beta=90.00 gamma=90.00
Positions (direct):
Pm  0.0000  0.5000  0.0000
Dy  0.5000  0.1328  0.2656
Dy  0.5000  0.8672  0.7344
Mg  0.5000  0.6202  0.2405
Mg  0.0000  0.7485  0.4971
Mg  0.5000  0.3798  0.7595
Mg  0.0000  0.2515  0.5029

***

Entry 2:
Entry from Alexandria: Sr2Se2O7 after structural relaxation (PBE-GGA).

Summary:
Formation energy from raw total energies, meV per atom: -1641

Unit cell a=4.9866 b=6.2792 c=6.2792 alpha=97.15 beta=98.55 gamma=98.55
Positions (direct):
Sr  0.5000  0.2909  0.7091
Sr  0.5000  0.7091  0.2909
Se  0.0814  0.7717  0.7717
Se  0.9186  0.2283  0.2283
O  0.2732  0.5977  0.8899
O  0.7268  0.1101  0.4023
O  0.7268  0.4023  0.1101
O  0.2732  0.8899  0.5977
O  0.2004  0.3895  0.3895
O  0.0000  0.0000  0.0000
O  0.7996  0.6105  0.6105

***

Entry 3:
Entry from Alexandria: TbInPd after structural relaxation (PBE-GGA).

Summary:
ΔE_f, eV per formula unit: -1.86

Unit cell a=3.4504 b=3.4504 c=6.0890 alpha=106.46 beta=106.46 gamma=90.00
Positions (direct):
Tb  0.6037  0.6037  0.2074
Pd  0.9419  0.9419  0.8838
In  0.3044  0.3044  0.6088

***

Entry 4:
Entry from Alexandria: La9Th4In11 after structural relaxation (PBE-GGA).

Summary:
ΔE_f, eV per formula unit: -8.86

Unit cell a=3.5849 b=14.2837 c=14.2837 alpha=97.10 beta=90.00 gamma=90.00
Positions (direct):
La  0.5000  0.6240  0.1415
La  0.5000  0.3760  0.8585
La  0.5000  0.1415  0.6240
La  0.5000  0.8585  0.3760
La  0.5000  0.7917  0.9654
La  0.5000  0.2083  0.0346
La  0.5000  0.9654  0.7917
La  0.5000  0.0346  0.2083
La  0.5000  0.5000  0.5000
Th  0.5000  0.5627  0.7303
Th  0.5000  0.4373  0.2697
Th  0.5000  0.7303  0.5627
Th  0.5000  0.2697  0.4373
In  0.0000  0.5817  0.9308
In  0.0000  0.4183  0.0692
In  0.0000  0.9308  0.5817
In  0.0000  0.0692  0.4183
In  0.0000  0.6409  0.3591
In  0.0000  0.3591  0.6409
In  0.0000  0.8318  0.1682
In  0.0000  0.1682  0.8318
In  0.0000  0.0000  0.0000
In  0.0000  0.7616  0.7616
In  0.0000  0.2384  0.2384

***

Entry 5:
Entry from Alexandria: Zn2TeAs after structural relaxation (PBE-GGA).

Summary:
Formation energy from raw total energies, meV per atom: 341

Unit cell a=4.9105 b=4.9105 c=4.9105 alpha=60.00 beta=60.00 gamma=60.00
Positions (direct):
As  0.5000  0.5000  0.5000
Te  0.7500  0.7500  0.7500
Zn  0.0000  0.0000  0.0000
Zn  0.2500  0.2500  0.2500

***

Entry 6:
Entry from Alexandria: Ta2V3P2 after structural relaxation (PBE-GGA).

Summary:
ΔE_f, eV per formula unit: -4.79

Unit cell a=3.3671 b=4.9936 c=6.8208 alpha=111.89 beta=90.00 gamma=109.70
Positions (direct):
Ta  0.8670  0.7341  0.2099
Ta  0.1330  0.2659  0.7901
V  0.5000  0.0000  0.0000
V  0.6283  0.2567  0.4366
V  0.3717  0.7433  0.5634
P  0.8363  0.6727  0.7855
P  0.1637  0.3273  0.2145